VSnOF2 (PBE with a Hubbard U, optimized geometry); energy relative to the lowest polymorph listed for this composition = 0.787 eV per atom; total energy = -5.04 eV/atom; space group = P4/mmm (123)
1.0
4.535 0.000 0.000
0.000 4.535 0.000
0.000 0.000 4.181
V Sn O F
1 1 1 2
Direct
0.000 0.000 0.000
0.500 0.500 0.500
0.500 0.500 0.000
0.000 0.500 0.500
0.500 0.000 0.500